A plane-wave DFT calculation with GGA-PBE was carried out for a relaxed Pd5Pt2O12 crystal.

abc: 7.0377 7.0377 6.3779
angles: 102.85 102.85 50.00
Sites, in units of the cell vectors:
Pd  0.0000  0.0000  0.0000
Pd  0.3218  0.3218  0.1484
Pd  0.3225  0.3225  0.6687
Pd  0.6775  0.6775  0.3313
Pd  0.6782  0.6782  0.8516
Pt  0.2496  0.7504  0.5000
Pt  0.7504  0.2496  0.5000
O  0.0260  0.0260  0.3142
O  0.1143  0.5618  0.9191
O  0.1145  0.5561  0.4112
O  0.4382  0.8857  0.0809
O  0.4439  0.8855  0.5888
O  0.4928  0.4928  0.7161
O  0.5072  0.5072  0.2839
O  0.5561  0.1145  0.4112
O  0.5618  0.1143  0.9191
O  0.8855  0.4439  0.5888
O  0.8857  0.4382  0.0809
O  0.9740  0.9740  0.6858

Calculated values
For the uncorrected formation energy, the calculation gives -0.183 eV per atom. The value obtained for the density of states at the Fermi level is 12.1 states/eV per cell. As for the calculated volume: 234.6 Å³/cell. For the final energy, the calculation gives -5.3165 eV per atom.

A plane-wave DFT calculation with GGA-PBE was carried out for a relaxed K3InOs2O9 crystal.

abc: 5.6689 5.6689 7.0149
angles: 90.00 90.00 120.00
Sites, in units of the cell vectors:
K  0.0000  0.0000  0.0000
K  0.3333  0.6667  0.6590
K  0.6667  0.3333  0.3410
In  0.0000  0.0000  0.5000
Os  0.3333  0.6667  0.1569
Os  0.6667  0.3333  0.8431
O  0.0000  0.5000  0.0000
O  0.1752  0.3504  0.3136
O  0.1752  0.8248  0.3136
O  0.3504  0.1752  0.6864
O  0.5000  0.0000  0.0000
O  0.5000  0.5000  0.0000
O  0.6496  0.8248  0.3136
O  0.8248  0.1752  0.6864
O  0.8248  0.6496  0.6864

Calculated values
For the uncorrected formation energy, the calculation gives -1.323 eV per atom. The value obtained for the density of states at the Fermi level is 3.7 states/eV per cell. As for the calculated volume: 195.2 Å³/cell. For the final energy, the calculation gives -6.1977 eV per atom.